This record from Alexandria via LeMat-Bulk describes Sr2NiSe3O9 after structural relaxation. The functional is PBE with a Hubbard U.

```
data_Sr2NiSe3O9
_space_group_name_H-M_alt 'P 1'
_space_group_IT_number 1
_space_group_name_Hall 'P 1'
_cell_length_a 7.4404
_cell_length_b 7.7299
_cell_length_c 8.8370
_cell_angle_alpha 103.11
_cell_angle_beta 105.44
_cell_angle_gamma 95.37
loop_
_atom_site_label
_atom_site_fract_x
_atom_site_fract_y
_atom_site_fract_z
_atom_site_occupancy
Sr1 0.1276 0.4820 0.3065 1
Sr2 0.2516 0.9112 0.1116 1
Sr3 0.7484 0.0888 0.8884 1
Sr4 0.8724 0.5180 0.6935 1
Ni1 0.4073 0.6651 0.7487 1
Ni2 0.5927 0.3349 0.2513 1
Se1 0.1413 0.9152 0.7063 1
Se2 0.2657 0.3636 0.9123 1
Se3 0.4065 0.2139 0.5450 1
Se4 0.5935 0.7861 0.4550 1
Se5 0.7343 0.6364 0.0877 1
Se6 0.8587 0.0848 0.2937 1
O1 0.0080 0.1224 0.1805 1
O2 0.0249 0.2994 0.8520 1
O3 0.1365 0.6955 0.5993 1
O4 0.2748 0.5913 0.9123 1
O5 0.3247 0.3601 0.1148 1
O6 0.3369 0.4238 0.5735 1
O7 0.3587 0.9420 0.8522 1
O8 0.3685 0.7495 0.3275 1
O9 0.4358 0.1851 0.3544 1
O10 0.5642 0.8149 0.6456 1
O11 0.6315 0.2505 0.6725 1
O12 0.6413 0.0580 0.1478 1
O13 0.6631 0.5762 0.4265 1
O14 0.6753 0.6399 0.8852 1
O15 0.7252 0.4087 0.0877 1
O16 0.8635 0.3045 0.4007 1
O17 0.9751 0.7006 0.1480 1
O18 0.9920 0.8776 0.8195 1
```

Properties
Final energy   -5.661 eV per atom
SG   P-1, No. 2